1.
The following is a DFT calculation (PBE-GGA) of Tb5Er5In2 after structural relaxation.

Cell lengths 5.4279, 8.8963, 9.6742 Å; angles 124.43, 90.00, 107.76 degrees
With the nearest neighbours (Å) after each atom.
Fractional coordinates of all 12 atoms:
Tb: 0.5000 0.0000 0.5000  4 In 3.51, 6 Er 3.54-3.55, 4 Tb 3.56-3.87
Tb: 0.6640 0.3281 0.9967  3 In 3.18-3.29, 1 Tb 3.37, 2 Er 3.48
Tb: 0.6096 0.2192 0.2803  8 Er 3.32-3.54, 2 Tb 3.37-3.56
Tb: 0.3904 0.7808 0.7197  8 Er 3.32-3.54, 2 Tb 3.37-3.56
Tb: 0.3360 0.6719 0.0033  3 In 3.18-3.29, 1 Tb 3.37, 2 Er 3.48
Er: 0.1349 0.2699 0.5014  2 In 3.18, 5 Tb 3.32-3.54, 2 Er 3.33
Er: 0.7589 0.5178 0.7263  4 Er 3.29-3.58, 6 Tb 3.47-3.55
Er: 0.2411 0.4822 0.2737  4 Er 3.29-3.58, 6 Tb 3.47-3.55
Er: 0.8651 0.7301 0.4986  2 In 3.18, 5 Tb 3.32-3.54, 2 Er 3.33
Er: 0.0000 0.0000 0.0000  2 Er 3.29, 2 In 3.31, 4 Tb 3.49
In: 0.0957 0.1914 0.7851  5 Tb 3.18-3.51, 3 Er 3.18-3.31
In: 0.9043 0.8086 0.2149  5 Tb 3.18-3.51, 3 Er 3.18-3.31

Computed properties:
formation enthalpy at 0 K = -0.15 eV per atom


2.
The following is a DFT calculation (PBE-GGA) of Tb2ErIn after structural relaxation.

Cell lengths 4.8433, 4.8430, 4.8430 Å; angles 90.00, 90.00, 90.00 degrees
With the nearest neighbours (Å) after each atom.
Fractional coordinates of all 4 atoms:
In: 0.5000 0.0000 0.0000  4 Er 3.42, 8 Tb 3.42
Tb: 0.0000 0.0000 0.5000  4 Tb 3.42, 4 In 3.42, 4 Er 3.42
Tb: 0.0000 0.5000 0.0000  4 Tb 3.42, 4 In 3.42, 4 Er 3.42
Er: 0.5000 0.5000 0.5000  4 In 3.42, 8 Tb 3.42

Computed properties:
formation enthalpy at 0 K = -0.27 eV per atom
energy above the most stable polymorph in this dataset = 0.000 eV per atom


3.
The following is a DFT calculation (PBE-GGA) of TbEr6In after structural relaxation.

Cell lengths 4.8706, 4.8706, 9.9013 Å; angles 90.00, 90.00, 90.00 degrees
With the nearest neighbours (Å) after each atom.
Fractional coordinates of all 8 atoms:
Tb: 0.0000 0.0000 0.5000  12 Er 3.44-3.51
Er: 0.5000 0.5000 0.0000  8 Er 3.43, 4 In 3.44
Er: 0.5000 0.5000 0.5000  4 Tb 3.44, 8 Er 3.51
Er: 0.5000 0.0000 0.2444  8 Er 3.43-3.51, 2 In 3.43, 2 Tb 3.51
Er: 0.5000 0.0000 0.7556  2 In 3.43, 8 Er 3.43-3.51, 2 Tb 3.51
Er: 0.0000 0.5000 0.2444  8 Er 3.43-3.51, 2 In 3.43, 2 Tb 3.51
Er: 0.0000 0.5000 0.7556  2 In 3.43, 8 Er 3.43-3.51, 2 Tb 3.51
In: 0.0000 0.0000 0.0000  12 Er 3.43-3.44

Computed properties:
formation enthalpy at 0 K = -0.11 eV per atom
energy above the most stable polymorph in this dataset = 0.000 eV per atom


4.
The following is a DFT calculation (PBE-GGA) of Tb2Er6In after structural relaxation.

Cell lengths 6.0702, 9.7389, 9.7389 Å; angles 71.94, 84.03, 84.03 degrees
With the nearest neighbours (Å) after each atom.
Fractional coordinates of all 18 atoms:
Tb: 0.4314 0.5642 0.7914  10 Er 3.38-3.66
Tb: 0.0686 0.2086 0.4358  10 Er 3.38-3.66
Tb: 0.5686 0.4358 0.2086  10 Er 3.38-3.66
Tb: 0.9314 0.7914 0.5642  10 Er 3.38-3.66
Er: 0.4789 0.6902 0.4185  1 In 3.20, 4 Er 3.43-3.54, 2 Tb 3.45-3.57
Er: 0.0211 0.5815 0.3098  1 In 3.20, 4 Er 3.43-3.54, 2 Tb 3.45-3.57
Er: 0.5211 0.3098 0.5815  1 In 3.20, 4 Er 3.43-3.54, 2 Tb 3.45-3.57
Er: 0.9789 0.4185 0.6902  1 In 3.20, 4 Er 3.43-3.54, 2 Tb 3.45-3.57
Er: 0.6304 0.0698 0.3459  4 Er 3.21-3.49, 1 In 3.26, 3 Tb 3.38-3.41
Er: 0.8696 0.6541 0.9302  4 Er 3.21-3.49, 1 In 3.26, 3 Tb 3.38-3.41
Er: 0.3696 0.9302 0.6541  4 Er 3.21-3.49, 1 In 3.26, 3 Tb 3.38-3.41
Er: 0.1304 0.3459 0.0698  4 Er 3.21-3.49, 1 In 3.26, 3 Tb 3.38-3.41
Er: 0.3385 0.7793 0.0174  2 In 3.14-3.29, 5 Er 3.25-3.49, 2 Tb 3.45-3.51
Er: 0.1615 0.9826 0.2207  2 In 3.14-3.29, 5 Er 3.25-3.49, 2 Tb 3.45-3.51
Er: 0.6615 0.2207 0.9826  2 In 3.14-3.29, 5 Er 3.25-3.49, 2 Tb 3.45-3.51
Er: 0.8385 0.0174 0.7793  2 In 3.14-3.29, 5 Er 3.25-3.49, 2 Tb 3.45-3.51
In: 0.2500 0.1308 0.8692  8 Er 3.14-3.29
In: 0.7500 0.8692 0.1308  8 Er 3.14-3.29

Computed properties:
formation enthalpy at 0 K = -0.03 eV per atom
energy above the most stable polymorph in this dataset = 0.000 eV per atom


- formation enthalpy at 0 K of number 3 (TbEr6In)?
  -0.11 eV per atom